Material: NdSm2Sb
Method: DFT, PBE
State: relaxed

Output
The value obtained for the excess energy over the best structure of this formula in the dataset is 87 meV/atom. The formation energy without anion corrections is -0.49 eV/atom. As for the symmetry: P4/mmm, No. 123.

The structure in POSCAR format:
```
NdSm2Sb
1.0
-2.8596 -2.6863 1.1216
1.9522 -0.6034 3.5322
-3.9250 5.4743 3.1044
Sb Sm Nd
1 2 1
direct
0.5000 0.5000 0.5000
0.0000 0.0000 0.2836
0.0000 0.0000 0.7164
0.5000 0.5000 0.0000
```

---

Material: LaTl2Cr
Method: DFT, PBE
State: relaxed

Output
The formation energy comes out at 0.0591 eV per atom. As for the symmetry: R-3m, No. 166.

The structure in POSCAR format:
```
LaTl2Cr
1.0
-4.2156 -1.0940 2.2008
-0.1672 -0.4630 4.8548
-2.5647 4.6393 2.8092
Tl Cr La
2 1 1
direct
0.4751 0.4751 0.5751
0.0249 0.0249 0.9249
0.7500 0.7500 0.7500
0.2500 0.2500 0.2500
```

---

D(E_F), respectively: 6.21; 2.08 states/eV per cell.
Theoretical density, respectively: 7.620; 9.117 Mg/m³.